{
  "formula": "TmInCo",
  "functional": "PBE",
  "state": "optimized geometry",
  "lattice_angstrom": [[2.282, 1.318, 7.032], [-2.282, 1.318, 7.032], [0.000, -2.635, 7.032]],
  "species": ["Tm", "Tm", "In", "In", "Co", "Co"],
  "frac_coords": [[0.248, 0.248, 0.248], [0.752, 0.752, 0.752], [0.000, 0.000, 0.000], [0.500, 0.500, 0.500], [0.374, 0.374, 0.374], [0.626, 0.626, 0.626]],
  "sg": "R-3m",
  "total_energy_ry_per_atom": -0.3640,
  "magmom_total_mub_per_atom": 0.000
}

---

{
  "formula": "Tm4In2Co",
  "functional": "PBE",
  "state": "optimized geometry",
  "lattice_angstrom": [[-2.443, 2.443, 8.070], [2.443, -2.443, 8.070], [2.443, 2.443, -8.070]],
  "species": ["Tm", "Tm", "Tm", "Tm", "In", "In", "Co"],
  "frac_coords": [[0.000, 0.500, 0.500], [0.171, 0.171, 0.000], [0.500, 0.000, 0.500], [0.829, 0.829, 0.000], [0.363, 0.363, 0.000], [0.637, 0.637, 0.000], [0.000, 0.000, 0.000]],
  "sg": "I4/mmm",
  "e_above_lowest_polymorph_mev_per_atom": 62,
  "total_energy_ry_per_atom": -0.3315,
  "magmom_total_mub_per_atom": 0.000
}

---

How do the records compare in formation energy from the elements? In the order shown, they have -52 -107 kJ/mol of formula units.